(1)
Crystalline Mg3P4H28N2O24 at its relaxed geometry. Source: Alexandria via LeMat-Bulk, functional PBE-GGA.

Cell: 6.776 7.693 10.819 Å, 105.43 96.34 97.67°
Space group P-1 (No. 2)
Asymmetric unit:
Mg: 0.000 0.000 0.000
Mg: 0.342 0.761 0.598
P: 0.202 0.302 0.469
P: 0.250 0.660 0.871
H: 0.012 0.765 0.720
H: 0.101 0.811 0.414
H: 0.160 0.381 0.732
H: 0.174 0.438 0.176
H: 0.189 0.270 0.907
H: 0.264 0.048 0.232
H: 0.288 0.879 0.111
H: 0.290 0.112 0.652
H: 0.294 0.955 0.415
H: 0.298 0.632 0.288
H: 0.313 0.062 0.784
H: 0.337 0.586 0.130
H: 0.378 0.213 0.975
H: 0.423 0.457 0.225
N: 0.309 0.529 0.205
O: 0.013 0.766 0.626
O: 0.065 0.760 0.871
O: 0.153 0.256 0.594
O: 0.160 0.443 0.829
O: 0.199 0.968 0.145
O: 0.231 0.169 0.940
O: 0.251 0.831 0.424
O: 0.272 0.503 0.484
O: 0.349 0.181 0.403
O: 0.365 0.040 0.700
O: 0.371 0.705 0.007
O: 0.381 0.692 0.770

Output
E	-5.6621	eV per atom
density	1.99	g/cm³
density of states at the Fermi level	0.000	states/eV/cell

---

(2)
Crystalline Pr4Sm3Er2 at its relaxed geometry. Source: Alexandria via LeMat-Bulk, functional PBE-GGA.

Cell: 12.948 3.697 14.570 Å, 90.00 115.63 90.00°
Space group C2/m (No. 12)
Asymmetric unit:
Pr: 0.217 0.000 0.108
Pr: 0.220 0.500 0.372
Sm: 0.000 0.500 0.500
Sm: 0.007 0.500 0.887
Er: 0.051 0.000 0.709

Output
E	-4.6212	eV per atom
density	7.13	g/cm³
density of states at the Fermi level	26.707	states/eV/cell
energy relative to the lowest polymorph listed for this composition	21	meV/atom

---

(3)
Crystalline TbErH at its relaxed geometry. Source: Alexandria via LeMat-Bulk, functional PBE-GGA.

Cell: 3.6073 3.6073 5.5578 Å, 90.00 90.00 120.00°
Space group P3m1 (No. 156)
Asymmetric unit:
Tb: 0.0000 0.0000 0.0000
Er: 0.3333 0.6667 0.4888
H: 0.6667 0.3333 0.2486

Output
E	-4.4242	eV per atom
density	8.67	g/cm³
density of states at the Fermi level	3.057	states/eV/cell
energy relative to the lowest polymorph listed for this composition	0	meV/atom